LuWO4: optimized geometry, PBE+U.

Results
Its space-group type is P2/c (13). The calculation puts the total moment at 1.0 μB/f.u. Its total energy is -8.016 eV/atom.

a = 5.618 Å, b = 5.101 Å, c = 5.233 Å
α = 84.47°, β = 90.00°, γ = 90.00°
Last column: magnetic moment on the atom in μB.
Sites, in units of the cell vectors:
Lu1 0.290 0.500 0.750  0.03
Lu2 0.710 0.500 0.250  0.03
W1 0.817 0.000 0.750  0.97
W2 0.183 0.000 0.250  0.97
O1 0.084 0.226 0.524  0.01
O2 0.916 0.226 0.024  0.01
O3 0.598 0.264 0.607  0.01
O4 0.402 0.264 0.107  0.01
O5 0.598 0.736 0.893  0.01
O6 0.402 0.736 0.393  0.01
O7 0.084 0.774 0.976  0.01
O8 0.916 0.774 0.476  0.01